Computed, not measured: a geometry-optimized Zn2In2P structure at the GGA-PBE level of DFT.

Structure (POSCAR):
```
Zn2In2P
1.0
-3.479 1.350 -1.939
-2.269 -0.948 3.411
-1.910 5.868 2.953
Zn In P
2 2 1
direct
0.406 0.406 0.189
0.594 0.594 0.811
0.750 0.250 0.500
0.250 0.750 0.500
0.000 0.000 0.000
```

Properties
Energy above the lowest structure with this stoichiometry   0.320 eV per atom
Density   5.96 Mg/m³
Crystal system   tetragonal
DFT formation energy   0.45 eV/atom

Computed, not measured: a geometry-optimized NiH2Cl2 structure at the GGA-PBE level of DFT.

Structure (POSCAR):
```
NiH2Cl2
1.0
-0.922 3.584 0.433
-2.087 -0.891 2.955
14.523 -0.685 5.495
H Ni Cl
4 2 4
direct
0.111 0.958 0.240
0.139 0.792 0.260
0.208 0.861 0.740
0.042 0.889 0.760
0.854 0.146 0.500
0.396 0.604 0.000
0.774 0.565 0.417
0.435 0.226 0.583
0.476 0.185 0.083
0.815 0.524 0.917
```

Properties
Density   2.14 Mg/m³
Crystal system   monoclinic

Number 1: calculated total energy -0.0821 Ha/atom, magnetization 0.00 μB per formula unit. Number 2: calculated total energy -0.1299 Ha/atom, magnetization 2.00 μB per formula unit.